NbSi2BiP: relaxed, PBE-GGA.

Cell lengths 4.471, 4.471, 5.418 Å; angles 90.00, 90.00, 90.00 degrees
Space group P4/mmm (No. 123)
Inequivalent atoms, fractional coordinates:
Nb: 0.000 0.000 0.000 x1
Si: 0.000 0.500 0.500 x2
Bi: 0.500 0.500 0.000 x1
P: 0.500 0.500 0.500 x1

Results
E, eV/cell: -25.07
Crystal system: tetragonal

NbSnBiP2: relaxed, PBE-GGA.

Cell lengths 5.246, 5.246, 5.419 Å; angles 90.00, 90.00, 90.00 degrees
Space group P4/mmm (No. 123)
Inequivalent atoms, fractional coordinates:
Nb: 0.000 0.000 0.000 x1
Sn: 0.500 0.500 0.000 x1
Bi: 0.000 0.000 0.500 x1
P: 0.000 0.500 0.500 x2

Results
DFT formation energy, eV per atom: 1.49
E, eV/cell: -21.33
Crystal system: tetragonal

Ti2NbBiP: relaxed, PBE-GGA.

Cell lengths 5.103, 5.103, 5.157 Å; angles 90.00, 90.00, 90.00 degrees
Space group P4/mmm (No. 123)
Inequivalent atoms, fractional coordinates:
Ti: 0.000 0.500 0.000 x2
Nb: 0.000 0.000 0.500 x1
Bi: 0.500 0.500 0.000 x1
P: 0.500 0.500 0.500 x1

Results
DFT formation energy, eV per atom: 1.68
E, eV/cell: -26.74
Crystal system: tetragonal

PaNb2Bi: relaxed, PBE-GGA.

Cell lengths 4.794, 4.794, 3.774 Å; angles 90.00, 90.00, 90.00 degrees
Space group P4/mmm (No. 123)
Inequivalent atoms, fractional coordinates:
Pa: 0.000 0.000 0.000 x1
Nb: 0.000 0.500 0.500 x2
Bi: 0.500 0.500 0.000 x1

Results
DFT formation energy, eV per atom: 0.11
E above lowest polymorph, eV/atom: 0.000
E, eV/cell: -33.09
Crystal system: tetragonal

Pa2NbBi: relaxed, PBE-GGA.

Cell lengths 4.1669, 4.1669, 22.1615 Å; angles 90.00, 90.00, 120.00 degrees
Space group R-3m (No. 166, hexagonal axes)
Inequivalent atoms, fractional coordinates:
Pa: 0.0000 0.0000 0.2346 x6
Nb: 0.0000 0.0000 0.5000 x3
Bi: 0.0000 0.0000 0.0000 x3

Results
DFT formation energy, eV per atom: 0.42
E above lowest polymorph, eV/atom: 0.376
E, eV/cell: -93.82
Crystal system: trigonal

PaNbBi2: relaxed, PBE-GGA.

Cell lengths 3.2584, 3.2584, 34.4692 Å; angles 90.00, 90.00, 120.00 degrees
Space group R-3m (No. 166, hexagonal axes)
Inequivalent atoms, fractional coordinates:
Pa: 0.0000 0.0000 0.0000 x3
Nb: 0.0000 0.0000 0.5000 x3
Bi: 0.0000 0.0000 0.4145 x6

Results
DFT formation energy, eV per atom: 0.46
E above lowest polymorph, eV/atom: 0.433
E, eV/cell: -76.51
Crystal system: trigonal

PaNbBi: relaxed, PBE-GGA.

Cell lengths 3.2666, 3.2666, 7.8823 Å; angles 90.00, 90.00, 120.00 degrees
Space group P3m1 (No. 156)
Inequivalent atoms, fractional coordinates:
Pa: 0.0000 0.0000 0.0000 x1
Nb: 0.6667 0.3333 0.3235 x1
Bi: 0.3333 0.6667 0.6254 x1

Results
DFT formation energy, eV per atom: 0.27
E above lowest polymorph, eV/atom: 0.335
E, eV/cell: -22.63
Crystal system: trigonal

PaNbBi2: relaxed, PBE-GGA.

Cell lengths 7.329, 7.329, 7.329 Å; angles 90.00, 90.00, 90.00 degrees
Space group Fm-3m (No. 225)
Inequivalent atoms, fractional coordinates:
Pa: 0.000 0.000 0.000 x4
Nb: 0.000 0.000 0.500 x4
Bi: 0.250 0.250 0.250 x8

Results
DFT formation energy, eV per atom: 0.02
E above lowest polymorph, eV/atom: 0.000
E, eV/cell: -108.93
Crystal system: cubic

> E of number 1 (NbSi2BiP)?

-25.07 eV/cell